(1)
DFT (PBE) results for a relaxed CsCuCl2 crystal.

```
4
Lattice="5.543 0.000 0.000 2.772 4.800 0.000 2.772 1.600 7.192" Properties=species:S:1:pos:R:3 pbc="T T T"
Cu 0.000 0.000 0.000
Cl 8.315 4.800 2.102
Cl 2.772 1.600 5.090
Cs 5.543 3.200 3.596
```

* D(E_F): 0.0 states/eV/f.u.
* SG: R-3m
* raw formation energy: -1.23 eV per atom
* uncorrected energy: -3.39 eV per atom

(2)
DFT (PBE) results for a relaxed CsCu2Cl4 crystal.

```
7
Lattice="5.239 0.000 2.463 2.620 5.940 1.231 0.093 0.000 6.607" Properties=species:S:1:pos:R:3 pbc="T T T"
Cu 2.666 2.970 4.535
Cu 5.286 2.970 5.766
Cs 0.000 0.000 0.000
Cl 1.550 1.226 3.507
Cl 6.402 4.714 6.794
Cl 3.234 2.515 6.729
Cl 4.718 3.425 3.572
```

* D(E_F): 10.2 states/eV/f.u.
* SG: I4/m
* raw formation energy: -0.95 eV per atom
* uncorrected energy: -3.30 eV per atom

(3)
DFT (PBE) results for a relaxed Cs2CuCl5 crystal.

```
8
Lattice="7.239 0.034 0.049 -3.534 6.317 -0.049 -3.534 -2.195 5.924" Properties=species:S:1:pos:R:3 pbc="T T T"
Cs 0.150 -0.088 4.401
Cs 0.150 4.169 1.415
Cl 1.670 0.839 1.195
Cl -3.442 -0.436 4.576
Cl -3.442 4.451 1.147
Cl -1.967 1.147 1.635
Cl -1.315 3.211 4.576
Cu -0.101 0.059 0.084
```

* D(E_F): 0.6 states/eV/f.u.
* SG: I4mm
* raw formation energy: -1.21 eV per atom
* uncorrected energy: -3.09 eV per atom

(4)
DFT (PBE) results for a relaxed Cs2Cu3Cl5 crystal.

```
20
Lattice="-0.186 -0.352 6.844 9.605 -1.277 3.628 6.227 7.244 3.975" Properties=species:S:1:pos:R:3 pbc="T T T"
Cu 6.510 1.575 7.124
Cu -0.139 -0.264 5.133
Cu 9.136 4.040 7.322
Cu 9.533 2.628 10.694
Cu -0.046 -0.088 1.711
Cu 6.113 2.987 3.753
Cs 4.235 4.451 7.211
Cs 9.221 6.279 10.873
Cs 11.411 1.163 7.236
Cs 6.426 -0.664 3.574
Cl 7.614 6.228 7.394
Cl 8.032 -0.613 7.053
Cl 10.869 3.940 9.081
Cl 4.777 1.675 5.366
Cl 4.684 1.499 8.788
Cl 10.962 4.115 5.659
Cl 7.777 2.720 8.934
Cl 5.723 5.622 3.878
Cl 7.870 2.895 5.513
Cl 9.923 -0.007 10.569
```

* SG: Ibam
* raw formation energy: -0.95 eV per atom
* uncorrected energy: -3.27 eV per atom